No. 1
The following is a DFT calculation (PBE) of crystalline PmPt2 at its relaxed geometry.

a = 5.487 Å, b = 5.487 Å, c = 5.487 Å
α = 60.00°, β = 60.00°, γ = 60.00°
Fractional positions:
1 Pm 0.000 0.000 0.000
2 Pm 0.250 0.250 0.250
3 Pt 0.625 0.625 0.125
4 Pt 0.625 0.125 0.625
5 Pt 0.125 0.625 0.625
6 Pt 0.625 0.625 0.625

Values from the calculation:
Formation enthalpy at 0 K in meV per atom: -1065
Total magnetization in μB/atom: 0.00
Distance to the lowest polymorph of the same formula in eV per formula unit: 0.000



No. 2
The following is a DFT calculation (PBE) of crystalline PrCdGa at its relaxed geometry.

a = 5.025 Å, b = 5.025 Å, c = 5.025 Å
α = 60.00°, β = 60.00°, γ = 60.00°
Fractional positions:
1 Cd 0.250 0.250 0.250
2 Ga 0.750 0.750 0.750
3 Pr 0.000 0.000 0.000

Values from the calculation:
Total magnetization in μB/atom: 0.00
Electronic total energy in eV/cell: -8.66



No. 3
The following is a DFT calculation (PBE) of crystalline LaPrGd at its relaxed geometry.

a = 5.539 Å, b = 5.539 Å, c = 5.539 Å
α = 60.00°, β = 60.00°, γ = 60.00°
Site moments in Bohr magnetons follow the coordinates.
Fractional positions:
1 Gd 0.500 0.500 0.500  0.23
2 La 0.000 0.000 0.000  0.14
3 Pr 0.250 0.250 0.250  0.30

Values from the calculation:
Formation enthalpy at 0 K in meV per atom: 698
Total magnetization in μB/atom: 0.37
Distance to the lowest polymorph of the same formula in eV per formula unit: 0.000



No. 4
The following is a DFT calculation (PBE) of crystalline Y3P4Pd7 at its relaxed geometry.

a = 7.951 Å, b = 7.951 Å, c = 9.409 Å
α = 124.16°, β = 124.16°, γ = 29.25°
Fractional positions:
1 P 0.894 0.894 0.180
2 P 0.660 0.660 0.255
3 P 0.340 0.340 0.745
4 P 0.106 0.106 0.820
5 Pd 0.695 0.695 0.030
6 Pd 0.510 0.510 0.283
7 Pd 0.168 0.168 0.420
8 Pd 0.000 0.000 0.500
9 Pd 0.832 0.832 0.580
10 Pd 0.490 0.490 0.717
11 Pd 0.305 0.305 0.970
12 Y 0.000 0.000 0.000
13 Y 0.319 0.319 0.322
14 Y 0.681 0.681 0.678

Values from the calculation:
Total magnetization in μB/atom: 0.00
Electronic total energy in eV/cell: -91.26



No. 5
The following is a DFT calculation (PBE) of crystalline Hf2Sc3Si4 at its relaxed geometry.

a = 7.175 Å, b = 7.175 Å, c = 12.956 Å
α = 90.00°, β = 90.00°, γ = 90.00°
Fractional positions:
1 Hf 0.501 0.643 0.123
2 Hf 0.999 0.143 0.127
3 Hf 0.857 0.001 0.373
4 Hf 0.357 0.499 0.377
5 Hf 0.499 0.357 0.623
6 Hf 0.001 0.857 0.627
7 Hf 0.143 0.999 0.873
8 Hf 0.643 0.501 0.877
9 Sc 0.323 0.323 0.000
10 Sc 0.995 0.651 0.035
11 Sc 0.505 0.151 0.215
12 Sc 0.177 0.823 0.250
13 Sc 0.849 0.495 0.285
14 Sc 0.349 0.005 0.465
15 Sc 0.677 0.677 0.500
16 Sc 0.005 0.349 0.535
17 Sc 0.495 0.849 0.715
18 Sc 0.823 0.177 0.750
19 Sc 0.151 0.505 0.785
20 Sc 0.651 0.995 0.965
21 Si 0.300 0.949 0.064
22 Si 0.707 0.352 0.073
23 Si 0.793 0.852 0.177
24 Si 0.200 0.449 0.186
25 Si 0.551 0.800 0.314
26 Si 0.148 0.207 0.323
27 Si 0.648 0.293 0.427
28 Si 0.051 0.700 0.436
29 Si 0.700 0.051 0.564
30 Si 0.293 0.648 0.573
31 Si 0.207 0.148 0.677
32 Si 0.800 0.551 0.686
33 Si 0.449 0.200 0.814
34 Si 0.852 0.793 0.823
35 Si 0.352 0.707 0.927
36 Si 0.949 0.300 0.936

Values from the calculation:
Total magnetization in μB/atom: 0.00
Electronic total energy in eV/cell: -270.73



No. 6
The following is a DFT calculation (PBE) of crystalline NaThPt at its relaxed geometry.

a = 4.873 Å, b = 4.873 Å, c = 4.873 Å
α = 60.00°, β = 60.00°, γ = 60.00°
Site moments in Bohr magnetons follow the coordinates.
Fractional positions:
1 Na 0.500 0.500 0.500  0.01
2 Pt 0.000 0.000 0.000  0.02
3 Th 0.250 0.250 0.250  0.16

Values from the calculation:
Total magnetization in μB/atom: 0.13
Distance to the lowest polymorph of the same formula in eV per formula unit: 0.000



No. 7
The following is a DFT calculation (PBE) of crystalline Nb5Zn4P4 at its relaxed geometry.

a = 7.677 Å, b = 7.677 Å, c = 7.677 Å
α = 93.02°, β = 93.02°, γ = 153.46°
Fractional positions:
1 Nb 0.500 0.500 0.000
2 Nb 0.207 0.898 0.105
3 Nb 0.102 0.207 0.310
4 Nb 0.898 0.793 0.690
5 Nb 0.793 0.102 0.895
6 P 0.417 0.731 0.148
7 P 0.731 0.583 0.314
8 P 0.269 0.417 0.686
9 P 0.583 0.269 0.852
10 Zn 0.915 0.401 0.316
11 Zn 0.401 0.085 0.487
12 Zn 0.599 0.915 0.513
13 Zn 0.085 0.599 0.684

Values from the calculation:
Total magnetization in μB/atom: 0.00
Electronic total energy in eV/cell: -82.22



No. 8
The following is a DFT calculation (PBE) of crystalline Li2GeMo at its relaxed geometry.

a = 4.295 Å, b = 4.295 Å, c = 4.295 Å
α = 60.00°, β = 60.00°, γ = 60.00°
Site moments in Bohr magnetons follow the coordinates.
Fractional positions:
1 Ge 0.500 0.500 0.500  -0.03
2 Li 0.000 0.000 0.000  0.01
3 Li 0.750 0.750 0.750  -0.01
4 Mo 0.250 0.250 0.250  1.31

Values from the calculation:
Total magnetization in μB/atom: 0.37
Electronic total energy in eV/cell: -18.83



No. 9
The following is a DFT calculation (PBE) of crystalline Cu2Ag3 at its relaxed geometry.

a = 4.841 Å, b = 4.841 Å, c = 6.222 Å
α = 129.63°, β = 129.63°, γ = 48.11°
Fractional positions:
1 Ag 0.699 0.699 0.108
2 Ag 0.500 0.500 0.500
3 Ag 0.301 0.301 0.892
4 Cu 0.104 0.104 0.302
5 Cu 0.896 0.896 0.698

Values from the calculation:
Formation enthalpy at 0 K in meV per atom: 96
Distance to the lowest polymorph of the same formula in eV per formula unit: 0.317



No. 10
The following is a DFT calculation (PBE) of crystalline NaErInTe3 at its relaxed geometry.

a = 7.963 Å, b = 7.963 Å, c = 11.331 Å
α = 90.00°, β = 90.00°, γ = 147.92°
Fractional positions:
1 Er 0.000 0.000 0.000
2 Er 0.000 0.000 0.500
3 In 0.475 0.525 0.250
4 In 0.525 0.475 0.750
5 Na 0.770 0.230 0.250
6 Na 0.230 0.770 0.750
7 Te 0.360 0.640 0.046
8 Te 0.103 0.897 0.250
9 Te 0.360 0.640 0.454
10 Te 0.640 0.360 0.546
11 Te 0.897 0.103 0.750
12 Te 0.640 0.360 0.954

Values from the calculation:
Total magnetization in μB/atom: 0.00
Electronic total energy in eV/cell: -45.37



No. 11
The following is a DFT calculation (PBE) of crystalline Nb2Si3Ni2 at its relaxed geometry.

a = 8.616 Å, b = 8.616 Å, c = 8.616 Å
α = 25.24°, β = 25.24°, γ = 25.24°
Fractional positions:
1 Nb 0.250 0.250 0.250
2 Nb 0.755 0.755 0.755
3 Ni 0.004 0.004 0.004
4 Ni 0.501 0.501 0.501
5 Si 0.367 0.367 0.367
6 Si 0.643 0.643 0.643
7 Si 0.856 0.856 0.856

Values from the calculation:
Total magnetization in μB/atom: 0.01
Distance to the lowest polymorph of the same formula in eV per formula unit: 2.033



No. 12
The following is a DFT calculation (PBE) of crystalline GaAsIrAu at its relaxed geometry.

a = 4.535 Å, b = 4.535 Å, c = 4.535 Å
α = 60.00°, β = 60.00°, γ = 60.00°
Fractional positions:
1 As 0.500 0.500 0.500
2 Au 0.750 0.750 0.750
3 Ga 0.000 0.000 0.000
4 Ir 0.250 0.250 0.250

Values from the calculation:
Total magnetization in μB/atom: 0.00
Distance to the lowest polymorph of the same formula in eV per formula unit: 0.000



No. 13
The following is a DFT calculation (PBE) of crystalline K5Hg7 at its relaxed geometry.

a = 10.339 Å, b = 19.815 Å, c = 8.491 Å
α = 90.00°, β = 90.00°, γ = 90.00°
Fractional positions:
1 Hg 0.876 0.250 0.000
2 Hg 0.124 0.750 0.000
3 Hg 0.195 0.029 0.065
4 Hg 0.805 0.529 0.065
5 Hg 0.370 0.357 0.067
6 Hg 0.630 0.857 0.067
7 Hg 0.680 0.381 0.068
8 Hg 0.320 0.881 0.068
9 Hg 0.680 0.381 0.432
10 Hg 0.320 0.881 0.432
11 Hg 0.370 0.357 0.433
12 Hg 0.630 0.857 0.433
13 Hg 0.195 0.029 0.435
14 Hg 0.805 0.529 0.435
15 Hg 0.876 0.250 0.500
16 Hg 0.124 0.750 0.500
17 Hg 0.195 0.471 0.565
18 Hg 0.805 0.971 0.565
19 Hg 0.370 0.143 0.567
20 Hg 0.630 0.643 0.567
21 Hg 0.680 0.119 0.568
22 Hg 0.320 0.619 0.568
23 Hg 0.680 0.119 0.932
24 Hg 0.320 0.619 0.932
25 Hg 0.370 0.143 0.933
26 Hg 0.630 0.643 0.933
27 Hg 0.195 0.471 0.935
28 Hg 0.805 0.971 0.935
29 K 0.518 0.017 0.250
30 K 0.894 0.088 0.250
31 K 0.186 0.209 0.250
32 K 0.575 0.228 0.250
33 K 0.006 0.390 0.250
34 K 0.482 0.517 0.250
35 K 0.106 0.588 0.250
36 K 0.814 0.709 0.250
37 K 0.425 0.728 0.250
38 K 0.994 0.890 0.250
39 K 0.006 0.110 0.750
40 K 0.575 0.272 0.750
41 K 0.186 0.291 0.750
42 K 0.894 0.412 0.750
43 K 0.518 0.483 0.750
44 K 0.994 0.610 0.750
45 K 0.425 0.772 0.750
46 K 0.814 0.791 0.750
47 K 0.106 0.912 0.750
48 K 0.482 0.983 0.750

Values from the calculation:
Electronic total energy in eV/cell: -43.36



No. 14
The following is a DFT calculation (PBE) of crystalline SmYGa at its relaxed geometry.

a = 5.011 Å, b = 5.011 Å, c = 5.011 Å
α = 60.00°, β = 60.00°, γ = 60.00°
Fractional positions:
1 Ga 0.000 0.000 0.000
2 Sm 0.250 0.250 0.250
3 Y 0.750 0.750 0.750

Values from the calculation:
Total magnetization in μB/atom: 0.01
Distance to the lowest polymorph of the same formula in eV per formula unit: 0.000



No. 15
The following is a DFT calculation (PBE) of crystalline HfTa2Os at its relaxed geometry.

a = 4.626 Å, b = 4.626 Å, c = 4.626 Å
α = 60.00°, β = 60.00°, γ = 60.00°
Fractional positions:
1 Hf 0.250 0.250 0.250
2 Os 0.500 0.500 0.500
3 Ta 0.000 0.000 0.000
4 Ta 0.750 0.750 0.750

Values from the calculation:
Formation enthalpy at 0 K in meV per atom: -217
Total magnetization in μB/atom: 0.00



No. 16
The following is a DFT calculation (PBE) of crystalline CsZnAsO at its relaxed geometry.

a = 3.508 Å, b = 8.377 Å, c = 6.302 Å
α = 90.00°, β = 90.00°, γ = 90.00°
Fractional positions:
1 As 0.000 0.620 0.001
2 As 0.000 0.380 0.501
3 Cs 0.000 0.208 0.001
4 Cs 0.000 0.792 0.501
5 O 0.500 0.001 0.251
6 O 0.500 0.999 0.751
7 Zn 0.500 0.866 0.001
8 Zn 0.500 0.134 0.501

Values from the calculation:
Distance to the lowest polymorph of the same formula in eV per formula unit: 0.821



No. 17
The following is a DFT calculation (PBE) of crystalline BaErAuSe3 at its relaxed geometry.

a = 8.272 Å, b = 4.188 Å, c = 10.011 Å
α = 90.00°, β = 107.61°, γ = 90.00°
Fractional positions:
1 Au 0.405 0.750 0.400
2 Au 0.595 0.250 0.600
3 Ba 0.738 0.250 0.281
4 Ba 0.262 0.750 0.719
5 Er 0.187 0.250 0.159
6 Er 0.812 0.750 0.841
7 Se 0.942 0.750 0.139
8 Se 0.420 0.750 0.142
9 Se 0.221 0.250 0.452
10 Se 0.779 0.750 0.548
11 Se 0.580 0.250 0.858
12 Se 0.058 0.250 0.861

Values from the calculation:
Total magnetization in μB/atom: 0.00
Electronic total energy in eV/cell: -58.27



No. 18
The following is a DFT calculation (PBE) of crystalline YHf2Bi at its relaxed geometry.

a = 5.184 Å, b = 5.184 Å, c = 5.184 Å
α = 60.00°, β = 60.00°, γ = 60.00°
Site moments in Bohr magnetons follow the coordinates.
Fractional positions:
1 Bi 0.500 0.500 0.500  -0.02
2 Hf 0.000 0.000 0.000  0.70
3 Hf 0.750 0.750 0.750  0.36
4 Y 0.250 0.250 0.250  0.10

Values from the calculation:
Total magnetization in μB/atom: 0.43
Electronic total energy in eV/cell: -29.92



No. 19
The following is a DFT calculation (PBE) of crystalline GaTcSn at its relaxed geometry.

a = 4.394 Å, b = 4.394 Å, c = 4.394 Å
α = 60.00°, β = 60.00°, γ = 60.00°
Fractional positions:
1 Ga 0.500 0.500 0.500
2 Sn 0.000 0.000 0.000
3 Tc 0.750 0.750 0.750

Values from the calculation:
Total magnetization in μB/atom: 0.00
Distance to the lowest polymorph of the same formula in eV per formula unit: 0.000



No. 20
The following is a DFT calculation (PBE) of crystalline Y3Ho2TmP2Os at its relaxed geometry.

a = 4.136 Å, b = 7.704 Å, c = 7.704 Å
α = 119.72°, β = 90.00°, γ = 90.00°
Fractional positions:
1 Ho 0.000 0.249 0.000
2 Ho 0.000 0.000 0.249
3 Os 0.500 0.996 0.996
4 P 0.000 0.666 0.335
5 P 0.000 0.335 0.666
6 Tm 0.000 0.751 0.751
7 Y 0.500 0.591 0.000
8 Y 0.500 0.412 0.412
9 Y 0.500 0.000 0.591

Values from the calculation:
Total magnetization in μB/atom: 0.00
Electronic total energy in eV/cell: -61.86



No. 21
The following is a DFT calculation (PBE) of crystalline ZnMo4PN2 at its relaxed geometry.

a = 2.931 Å, b = 2.931 Å, c = 13.507 Å
α = 90.00°, β = 90.00°, γ = 120.00°
Fractional positions:
1 Mo 0.667 0.333 0.135
2 Mo 0.000 0.000 0.336
3 Mo 0.000 0.000 0.664
4 Mo 0.667 0.333 0.865
5 N 0.333 0.667 0.239
6 N 0.333 0.667 0.761
7 P 0.000 0.000 0.000
8 Zn 0.667 0.333 0.500

Values from the calculation:
Total magnetization in μB/atom: 0.00
Electronic total energy in eV/cell: -67.67



No. 22
The following is a DFT calculation (PBE) of crystalline NdSi2IrAu at its relaxed geometry.

a = 4.305 Å, b = 4.305 Å, c = 10.005 Å
α = 90.00°, β = 90.00°, γ = 90.00°
Fractional positions:
1 Au 0.000 0.000 0.000
2 Au 0.500 0.500 0.000
3 Ir 0.500 0.000 0.384
4 Ir 0.000 0.500 0.616
5 Nd 0.000 0.500 0.259
6 Nd 0.500 0.000 0.741
7 Si 0.500 0.000 0.150
8 Si 0.000 0.000 0.500
9 Si 0.500 0.500 0.500
10 Si 0.000 0.500 0.850

Values from the calculation:
Total magnetization in μB/atom: 0.00
Distance to the lowest polymorph of the same formula in eV per formula unit: 0.000